[1]
# ZrAlRe2 PBE-GGA relaxed
# **DFT formation energy**: -0.188 eV/atom
# **Total moment**: 0.0 Bohr magnetons per cell
# **Total energy**: -9.4843 eV per atom
data_ZrAlRe2
_chemical_formula_sum 'Zr2 Al2 Re4'
_space_group_name_H-M_alt 'I m m 2'
_space_group_IT_number 44
_cell_length_a 3.149
_cell_length_b 4.499
_cell_length_c 9.314
_cell_angle_alpha 90.00
_cell_angle_beta 90.00
_cell_angle_gamma 90.00
loop_
_space_group_symop_operation_xyz
'x,y,z'
'-x,-y,z'
'-x,y,z'
'x,-y,z'
'x+1/2,y+1/2,z+1/2'
'-x+1/2,-y+1/2,z+1/2'
'-x+1/2,y+1/2,z+1/2'
'x+1/2,-y+1/2,z+1/2'
loop_
_atom_site_label
_atom_site_type_symbol
_atom_site_fract_x
_atom_site_fract_y
_atom_site_fract_z
Zr1 Zr 0.000 0.000 0.000
Al1 Al 0.000 0.500 0.775
Re1 Re 0.000 0.000 0.516
Re2 Re 0.000 0.500 0.244



[2]
# GdHf2Al PBE-GGA relaxed
# **DFT formation energy**: -0.105 eV/atom
# **Total moment**: 7.2 Bohr magnetons per cell
# **Total energy**: -9.5380 eV per atom
data_GdHf2Al
_chemical_formula_sum 'Gd1 Hf2 Al1'
_space_group_name_H-M_alt 'P 4/m m m'
_space_group_IT_number 123
_space_group_name_Hall '-P 4 2'
_cell_length_a 4.476
_cell_length_b 4.476
_cell_length_c 4.426
_cell_angle_alpha 90.00
_cell_angle_beta 90.00
_cell_angle_gamma 90.00
loop_
_atom_site_label
_atom_site_type_symbol
_atom_site_fract_x
_atom_site_fract_y
_atom_site_fract_z
Gd1 Gd 0.000 0.000 0.000
Hf1 Hf 0.000 0.500 0.500
Al1 Al 0.500 0.500 0.000



[3]
# Sr2Li2HgO4 PBE-GGA relaxed
# **Total moment**: 0.0 Bohr magnetons per cell
# **Energy relative to the elements, uncorrected**: -1.794 eV/atom
# **Total energy**: -4.8297 eV per atom
data_Sr2Li2HgO4
_chemical_formula_sum 'Sr4 Li4 Hg2 O8'
_space_group_name_H-M_alt 'C 1 2/m 1'
_space_group_IT_number 12
_cell_length_a 13.017
_cell_length_b 3.379
_cell_length_c 5.909
_cell_angle_alpha 90.00
_cell_angle_beta 106.88
_cell_angle_gamma 90.00
loop_
_space_group_symop_operation_xyz
'x,y,z'
'-x,-y,-z'
'-x,y,-z'
'x,-y,z'
'x+1/2,y+1/2,z'
'-x+1/2,-y+1/2,-z'
'-x+1/2,y+1/2,-z'
'x+1/2,-y+1/2,z'
loop_
_atom_site_label
_atom_site_type_symbol
_atom_site_fract_x
_atom_site_fract_y
_atom_site_fract_z
Sr1 Sr 0.134 0.000 0.052
Li1 Li 0.179 0.500 0.519
Hg1 Hg 0.000 0.000 0.500
O1 O 0.030 0.500 0.251
O2 O 0.229 0.000 0.723



[4]
# Tb2TlBr PBE-GGA relaxed
# **Total moment**: 0.0 Bohr magnetons per cell
# **Energy relative to the elements, uncorrected**: -0.671 eV/atom
# **Total energy**: -3.9963 eV per atom
data_Tb2TlBr
_chemical_formula_sum 'Tb6 Tl3 Br3'
_space_group_name_H-M_alt 'R 3 m'
_space_group_IT_number 160
_space_group_name_Hall 'R 3 -2"'
_cell_length_a 3.6971
_cell_length_b 3.6971
_cell_length_c 27.8995
_cell_angle_alpha 90.00
_cell_angle_beta 90.00
_cell_angle_gamma 120.00
loop_
_atom_site_label
_atom_site_type_symbol
_atom_site_fract_x
_atom_site_fract_y
_atom_site_fract_z
Tb1 Tb 0.0000 0.0000 0.0000
Tb2 Tb 0.0000 0.0000 0.1609
Tl1 Tl 0.0000 0.0000 0.5805
Br1 Br 0.0000 0.0000 0.7478



[5]
# ScGa2P2 PBE-GGA relaxed
# **DFT formation energy**: -0.327 eV/atom
# **Total moment**: 0.0 Bohr magnetons per cell
# **Total energy**: -4.9681 eV per atom
data_ScGa2P2
_chemical_formula_sum 'Sc2 Ga4 P4'
_space_group_name_H-M_alt 'P 4/m b m'
_space_group_IT_number 127
_space_group_name_Hall '-P 4 2ab'
_cell_length_a 6.872
_cell_length_b 6.872
_cell_length_c 3.672
_cell_angle_alpha 90.00
_cell_angle_beta 90.00
_cell_angle_gamma 90.00
loop_
_atom_site_label
_atom_site_type_symbol
_atom_site_fract_x
_atom_site_fract_y
_atom_site_fract_z
Sc1 Sc 0.000 0.000 0.000
Ga1 Ga 0.157 0.343 0.500
P1 P 0.153 0.653 0.000



[6]
# NaLiBiAu PBE-GGA relaxed
# **DFT formation energy**: -0.360 eV/atom
# **Total moment**: 0.0 Bohr magnetons per cell
# **Total energy**: -2.9575 eV per atom
data_NaLiBiAu
_chemical_formula_sum 'Na4 Li4 Bi4 Au4'
_space_group_name_H-M_alt 'F -4 3 m'
_space_group_IT_number 216
_space_group_name_Hall 'F -4 2 3'
_cell_length_a 7.041
_cell_length_b 7.041
_cell_length_c 7.041
_cell_angle_alpha 90.00
_cell_angle_beta 90.00
_cell_angle_gamma 90.00
loop_
_atom_site_label
_atom_site_type_symbol
_atom_site_fract_x
_atom_site_fract_y
_atom_site_fract_z
Na1 Na 0.000 0.000 0.000
Li1 Li 0.250 0.250 0.750
Bi1 Bi 0.000 0.000 0.500
Au1 Au 0.250 0.250 0.250



[7]
# Li2PdPt2 PBE-GGA relaxed
# **DFT formation energy**: -0.270 eV/atom
# **Total moment**: 0.0 Bohr magnetons per cell
# **Total energy**: -4.4905 eV per atom
data_Li2PdPt2
_chemical_formula_sum 'Li4 Pd2 Pt4'
_space_group_name_H-M_alt 'P 4/m b m'
_space_group_IT_number 127
_space_group_name_Hall '-P 4 2ab'
_cell_length_a 7.126
_cell_length_b 7.126
_cell_length_c 2.813
_cell_angle_alpha 90.00
_cell_angle_beta 90.00
_cell_angle_gamma 90.00
loop_
_atom_site_label
_atom_site_type_symbol
_atom_site_fract_x
_atom_site_fract_y
_atom_site_fract_z
Li1 Li 0.162 0.338 0.000
Pd1 Pd 0.000 0.000 0.500
Pt1 Pt 0.137 0.637 0.500



[8]
# Mg7Tl3In PBE-GGA relaxed
# **DFT formation energy**: 0.040 eV/atom
# **Total moment**: 0.0 Bohr magnetons per cell
# **Total energy**: -1.8690 eV per atom
data_Mg7Tl3In
_chemical_formula_sum 'Mg14 Tl6 In2'
_space_group_name_H-M_alt 'C 1 2/m 1'
_space_group_IT_number 12
_cell_length_a 10.666
_cell_length_b 10.883
_cell_length_c 5.692
_cell_angle_alpha 90.00
_cell_angle_beta 121.87
_cell_angle_gamma 90.00
loop_
_space_group_symop_operation_xyz
'x,y,z'
'-x,-y,-z'
'-x,y,-z'
'x,-y,z'
'x+1/2,y+1/2,z'
'-x+1/2,-y+1/2,-z'
'-x+1/2,y+1/2,-z'
'x+1/2,-y+1/2,z'
loop_
_atom_site_label
_atom_site_type_symbol
_atom_site_fract_x
_atom_site_fract_y
_atom_site_fract_z
Mg1 Mg 0.000 0.000 0.000
Mg2 Mg 0.172 0.270 0.673
Mg3 Mg 0.181 0.500 0.176
Tl1 Tl 0.000 0.267 0.000
Tl2 Tl 0.000 0.500 0.500
In1 In 0.000 0.000 0.500



[9]
# Tc2SbOsSe PBE-GGA relaxed
# **Total moment**: 1.0 Bohr magnetons per cell
# **Energy relative to the elements, uncorrected**: 1.226 eV/atom
# **Total energy**: -6.6874 eV per atom
data_Tc2SbOsSe
_chemical_formula_sum 'Tc2 Sb1 Os1 Se1'
_space_group_name_H-M_alt 'P 4/m m m'
_space_group_IT_number 123
_space_group_name_Hall '-P 4 2'
_cell_length_a 4.613
_cell_length_b 4.613
_cell_length_c 4.566
_cell_angle_alpha 90.00
_cell_angle_beta 90.00
_cell_angle_gamma 90.00
loop_
_atom_site_label
_atom_site_type_symbol
_atom_site_fract_x
_atom_site_fract_y
_atom_site_fract_z
Tc1 Tc 0.000 0.500 0.000
Sb1 Sb 0.000 0.000 0.500
Os1 Os 0.500 0.500 0.500
Se1 Se 0.500 0.500 0.000



[10]
# CeTh2Re PBE-GGA relaxed
# **DFT formation energy**: 0.460 eV/atom
# **Total moment**: 1.5 Bohr magnetons per cell
# **Total energy**: -7.8458 eV per atom
data_CeTh2Re
_chemical_formula_sum 'Ce3 Th6 Re3'
_space_group_name_H-M_alt 'R -3 m'
_space_group_IT_number 166
_space_group_name_Hall '-R 3 2"'
_cell_length_a 3.3979
_cell_length_b 3.3979
_cell_length_c 32.2747
_cell_angle_alpha 90.00
_cell_angle_beta 90.00
_cell_angle_gamma 120.00
loop_
_atom_site_label
_atom_site_type_symbol
_atom_site_fract_x
_atom_site_fract_y
_atom_site_fract_z
Ce1 Ce 0.0000 0.0000 0.0000
Th1 Th 0.0000 0.0000 0.0975
Re1 Re 0.0000 0.0000 0.5000



Question: Look up the total energy of the fifth one.
Answer: -4.9681 eV per atom